Entry 1:
The following is a PBE-GGA calculation of a relaxed structure of PrNd8Th2, from the Alexandria database.

abc: 9.544 9.544 6.115
angles: 105.80 105.80 122.34
Positions (direct):
1 Pr 0.000 0.000 0.000
2 Nd 0.100 0.339 0.683
3 Nd 0.206 0.794 0.000
4 Nd 0.339 0.100 0.683
5 Nd 0.424 0.424 0.207
6 Nd 0.576 0.576 0.793
7 Nd 0.661 0.900 0.317
8 Nd 0.794 0.206 0.000
9 Nd 0.900 0.661 0.317
10 Th 0.308 0.692 0.500
11 Th 0.692 0.308 0.500

Results
ΔE_f: 0.191 eV per atom
ρ: 7.52 Mg/m³



Entry 2:
The following is a PBE-GGA calculation of a relaxed structure of YCo3Ir, from the Alexandria database.

abc: 4.575 4.575 4.575
angles: 90.00 90.00 90.00
Positions (direct):
1 Y 0.000 0.000 0.000
2 Co 0.000 0.500 0.500
3 Co 0.500 0.000 0.500
4 Co 0.500 0.500 0.000
5 Ir 0.500 0.500 0.500

Results
ΔE_f: 0.593 eV per atom
ρ: 7.94 Mg/m³
excess energy over the best structure of this formula in the dataset: 0 meV/atom



Entry 3:
The following is a PBE-GGA calculation of a relaxed structure of GdZnPt, from the Alexandria database.

abc: 4.434 4.434 3.647
angles: 90.00 90.00 120.00
Positions (direct):
1 Gd 0.000 0.000 0.000
2 Zn 0.333 0.667 0.500
3 Pt 0.667 0.333 0.500

Results
ΔE_f: -0.863 eV per atom
ρ: 11.17 Mg/m³



Entry 4:
The following is a PBE-GGA calculation of a relaxed structure of CsBi3Sb3, from the Alexandria database.

abc: 11.280 5.827 11.281
angles: 90.00 119.95 90.00
Positions (direct):
1 Cs 0.167 0.250 0.333
2 Cs 0.833 0.750 0.667
3 Bi 0.126 0.250 0.946
4 Bi 0.180 0.750 0.626
5 Bi 0.446 0.750 0.320
6 Bi 0.554 0.250 0.680
7 Bi 0.820 0.250 0.374
8 Bi 0.874 0.750 0.054
9 Sb 0.084 0.250 0.649
10 Sb 0.150 0.750 0.066
11 Sb 0.434 0.750 0.584
12 Sb 0.566 0.250 0.416
13 Sb 0.850 0.250 0.934
14 Sb 0.916 0.750 0.351

Results
ρ: 5.82 Mg/m³
excess energy over the best structure of this formula in the dataset: 0 meV/atom



Entry 5:
The following is a PBE-GGA calculation of a relaxed structure of Os4WAu, from the Alexandria database.

abc: 5.139 5.139 5.139
angles: 60.00 60.00 60.00
Positions (direct):
1 Os 0.125 0.125 0.125
2 Os 0.125 0.125 0.626
3 Os 0.125 0.626 0.125
4 Os 0.626 0.125 0.125
5 W 0.500 0.500 0.500
6 Au 0.750 0.750 0.750

Results
ΔE_f: 0.681 eV per atom
ρ: 19.75 Mg/m³



Entry 6:
The following is a PBE-GGA calculation of a relaxed structure of HgTe2NCl, from the Alexandria database.

abc: 6.388 6.388 3.290
angles: 90.00 90.00 90.00
Positions (direct):
1 Hg 0.000 0.000 0.000
2 Te 0.000 0.500 0.500
3 Te 0.500 0.000 0.500
4 N 0.500 0.500 0.000
5 Cl 0.500 0.500 0.500

Results
final energy: -2.129 eV/atom
ρ: 6.25 Mg/m³



Entry 7:
The following is a PBE-GGA calculation of a relaxed structure of SbO, from the Alexandria database.

abc: 6.665 6.665 6.665
angles: 90.00 90.00 90.00
Positions (direct):
1 Sb 0.000 0.250 0.500
2 Sb 0.000 0.750 0.500
3 Sb 0.250 0.500 0.000
4 Sb 0.500 0.000 0.250
5 Sb 0.500 0.000 0.750
6 Sb 0.750 0.500 0.000
7 O 0.000 0.500 0.250
8 O 0.000 0.500 0.750
9 O 0.250 0.000 0.500
10 O 0.500 0.250 0.000
11 O 0.500 0.750 0.000
12 O 0.750 0.000 0.500

Results
final energy: -4.750 eV/atom
ρ: 4.64 Mg/m³



Entry 8:
The following is a PBE-GGA calculation of a relaxed structure of Ba2InGa3Au4, from the Alexandria database.

abc: 4.777 4.777 10.740
angles: 90.00 90.00 90.00
Positions (direct):
1 Ba 0.000 0.500 0.244
2 Ba 0.500 0.000 0.756
3 In 0.000 0.000 0.500
4 Ga 0.000 0.500 0.884
5 Ga 0.500 0.000 0.116
6 Ga 0.500 0.500 0.500
7 Au 0.000 0.000 0.000
8 Au 0.000 0.500 0.639
9 Au 0.500 0.000 0.361
10 Au 0.500 0.500 0.000

Results
ΔE_f: -0.572 eV per atom
ρ: 9.39 Mg/m³



Entry 9:
The following is a PBE-GGA calculation of a relaxed structure of KCoP2, from the Alexandria database.

abc: 4.102 4.102 8.510
angles: 90.00 90.00 90.00
Positions (direct):
1 K 0.000 0.000 0.000
2 K 0.500 0.500 0.500
3 Co 0.000 0.500 0.250
4 Co 0.500 0.000 0.750
5 P 0.000 0.000 0.500
6 P 0.000 0.500 0.750
7 P 0.500 0.000 0.250
8 P 0.500 0.500 0.000

Results
ΔE_f: 0.896 eV per atom
ρ: 3.71 Mg/m³
excess energy over the best structure of this formula in the dataset: 1236 meV/atom



Entry 10:
The following is a PBE-GGA calculation of a relaxed structure of Tc2HgC, from the Alexandria database.

abc: 5.191 5.191 10.822
angles: 90.00 90.00 90.00
Positions (direct):
1 Tc 0.104 0.250 0.125
2 Tc 0.250 0.604 0.375
3 Tc 0.250 0.896 0.875
4 Tc 0.396 0.250 0.625
5 Tc 0.604 0.750 0.625
6 Tc 0.750 0.104 0.875
7 Tc 0.750 0.396 0.375
8 Tc 0.896 0.750 0.125
9 Hg 0.000 0.000 0.500
10 Hg 0.000 0.500 0.750
11 Hg 0.500 0.000 0.250
12 Hg 0.500 0.500 0.000
13 C 0.000 0.000 0.000
14 C 0.000 0.500 0.250
15 C 0.500 0.000 0.750
16 C 0.500 0.500 0.500

Results
ΔE_f: 1.018 eV per atom
ρ: 9.31 Mg/m³
excess energy over the best structure of this formula in the dataset: 0 meV/atom



Entry 11:
The following is a PBE-GGA calculation of a relaxed structure of CuPPtS2, from the Alexandria database.

abc: 4.463 4.463 4.420
angles: 90.00 90.00 90.00
Positions (direct):
1 Cu 0.000 0.000 0.000
2 P 0.000 0.000 0.500
3 Pt 0.500 0.500 0.500
4 S 0.000 0.500 0.000
5 S 0.500 0.000 0.000

Results
ρ: 6.67 Mg/m³
excess energy over the best structure of this formula in the dataset: 124 meV/atom



Entry 12:
The following is a PBE-GGA calculation of a relaxed structure of KGeH2O4, from the Alexandria database.

abc: 4.185 6.693 7.350
angles: 90.00 90.00 90.00
Positions (direct):
1 K 0.000 0.000 0.000
2 K 0.500 0.500 0.500
3 Ge 0.000 0.000 0.500
4 Ge 0.500 0.500 0.000
5 H 0.000 0.500 0.159
6 H 0.000 0.500 0.841
7 H 0.500 0.000 0.341
8 H 0.500 0.000 0.659
9 O 0.227 0.382 0.847
10 O 0.227 0.618 0.153
11 O 0.273 0.118 0.347
12 O 0.273 0.882 0.653
13 O 0.727 0.118 0.653
14 O 0.727 0.882 0.347
15 O 0.773 0.382 0.153
16 O 0.773 0.618 0.847

Results
final energy: -5.159 eV/atom
ρ: 2.87 Mg/m³